Record 1
Below is an optimized crystal structure of PrTi2, with properties calculated at the PBE level.

## Properties
size of the total moment = 4.404 μB/f.u.
DFT formation energy = 345 meV/atom
Fermi-level density of states = 10.53 states/eV/cell

abc: 5.924 5.924 5.924
angles: 60.00 60.00 60.00
Fractional positions:
1 Pr 0.125 0.125 0.125
2 Pr 0.875 0.875 0.875
3 Ti 0.000 0.500 0.500
4 Ti 0.500 0.000 0.500
5 Ti 0.500 0.500 0.000
6 Ti 0.500 0.500 0.500

=====

Record 2
Below is an optimized crystal structure of Pr2TiTl, with properties calculated at the PBE level.

## Properties
size of the total moment = 1.518 μB/f.u.
DFT formation energy = 358 meV/atom
Fermi-level density of states = 17.91 states/eV/cell

abc: 3.374 3.374 35.327
angles: 90.00 90.00 120.00
Fractional positions:
1 Pr 0.000 0.000 0.085
2 Pr 0.000 0.000 0.915
3 Pr 0.333 0.667 0.582
4 Pr 0.333 0.667 0.752
5 Pr 0.667 0.333 0.248
6 Pr 0.667 0.333 0.418
7 Ti 0.000 0.000 0.000
8 Ti 0.333 0.667 0.667
9 Ti 0.667 0.333 0.333
10 Tl 0.000 0.000 0.500
11 Tl 0.333 0.667 0.167
12 Tl 0.667 0.333 0.833

=====

Record 3
Below is an optimized crystal structure of PrTiTl2, with properties calculated at the PBE level.

## Properties
size of the total moment = 1.033 μB/f.u.
DFT formation energy = -51 meV/atom
Fermi-level density of states = 3.93 states/eV/cell

abc: 3.718 3.718 7.314
angles: 90.00 90.00 90.00
Fractional positions:
1 Pr 0.000 0.000 0.000
2 Ti 0.000 0.000 0.500
3 Tl 0.500 0.500 0.287
4 Tl 0.500 0.500 0.713

=====

Record 4
Below is an optimized crystal structure of PrY2Ti, with properties calculated at the PBE level.

## Properties
size of the total moment = 0.000 μB/f.u.
energy relative to the lowest polymorph listed for this composition = 0.00 kJ/mol of atoms
DFT formation energy = 167 meV/atom
Fermi-level density of states = 6.38 states/eV/cell

abc: 3.422 3.422 9.922
angles: 90.00 90.00 90.00
Fractional positions:
1 Pr 0.000 0.000 0.000
2 Y 0.500 0.500 0.290
3 Y 0.500 0.500 0.710
4 Ti 0.000 0.000 0.500

=====

Record 5
Below is an optimized crystal structure of PrY2Ti, with properties calculated at the PBE level.

## Properties
size of the total moment = 1.922 μB/f.u.
energy relative to the lowest polymorph listed for this composition = 27.02 kJ/mol of atoms
DFT formation energy = 447 meV/atom
Fermi-level density of states = 15.76 states/eV/cell

abc: 3.402 3.402 35.740
angles: 90.00 90.00 120.00
Fractional positions:
1 Pr 0.000 0.000 0.000
2 Pr 0.333 0.667 0.667
3 Pr 0.667 0.333 0.333
4 Y 0.000 0.000 0.418
5 Y 0.000 0.000 0.582
6 Y 0.333 0.667 0.085
7 Y 0.333 0.667 0.249
8 Y 0.667 0.333 0.751
9 Y 0.667 0.333 0.915
10 Ti 0.000 0.000 0.500
11 Ti 0.333 0.667 0.167
12 Ti 0.667 0.333 0.833

=====

Record 6
Below is an optimized crystal structure of PrTiZn4, with properties calculated at the PBE level.

## Properties
size of the total moment = 1.887 μB/f.u.
DFT formation energy = -169 meV/atom
Fermi-level density of states = 7.51 states/eV/cell

abc: 5.365 5.365 5.365
angles: 60.00 60.00 60.00
Fractional positions:
1 Pr 0.000 0.000 0.000
2 Ti 0.250 0.250 0.250
3 Zn 0.128 0.624 0.624
4 Zn 0.624 0.128 0.624
5 Zn 0.624 0.624 0.128
6 Zn 0.624 0.624 0.624

=====

Record 7
Below is an optimized crystal structure of Pr2TiZn, with properties calculated at the PBE level.

## Properties
size of the total moment = 1.586 μB/f.u.
DFT formation energy = 431 meV/atom
Fermi-level density of states = 16.63 states/eV/cell

abc: 3.346 3.346 33.418
angles: 90.00 90.00 120.00
Fractional positions:
1 Pr 0.000 0.000 0.091
2 Pr 0.000 0.000 0.909
3 Pr 0.333 0.667 0.576
4 Pr 0.333 0.667 0.758
5 Pr 0.667 0.333 0.242
6 Pr 0.667 0.333 0.424
7 Ti 0.000 0.000 0.000
8 Ti 0.333 0.667 0.667
9 Ti 0.667 0.333 0.333
10 Zn 0.000 0.000 0.500
11 Zn 0.333 0.667 0.167
12 Zn 0.667 0.333 0.833

=====

Record 8
Below is an optimized crystal structure of PrZrTi4, with properties calculated at the PBE level.

## Properties
size of the total moment = 4.807 μB/f.u.
DFT formation energy = 287 meV/atom
Fermi-level density of states = 10.61 states/eV/cell

abc: 5.649 5.649 5.649
angles: 60.00 60.00 60.00
Fractional positions:
1 Pr 0.000 0.000 0.000
2 Zr 0.750 0.750 0.750
3 Ti 0.378 0.378 0.378
4 Ti 0.378 0.378 0.865
5 Ti 0.378 0.865 0.378
6 Ti 0.865 0.378 0.378

=====

Record 9
Below is an optimized crystal structure of PrZr2Ti, with properties calculated at the PBE level.

## Properties
size of the total moment = 0.000 μB/f.u.
energy relative to the lowest polymorph listed for this composition = 10.06 kJ/mol of atoms
DFT formation energy = 269 meV/atom
Fermi-level density of states = 18.36 states/eV/cell

abc: 3.186 3.186 33.555
angles: 90.00 90.00 120.00
Fractional positions:
1 Pr 0.000 0.000 0.000
2 Pr 0.333 0.667 0.667
3 Pr 0.667 0.333 0.333
4 Zr 0.000 0.000 0.096
5 Zr 0.000 0.000 0.904
6 Zr 0.333 0.667 0.570
7 Zr 0.333 0.667 0.763
8 Zr 0.667 0.333 0.237
9 Zr 0.667 0.333 0.430
10 Ti 0.000 0.000 0.500
11 Ti 0.333 0.667 0.167
12 Ti 0.667 0.333 0.833

=====

Record 10
Below is an optimized crystal structure of PrZr2Ti, with properties calculated at the PBE level.

## Properties
size of the total moment = 0.000 μB/f.u.
energy relative to the lowest polymorph listed for this composition = 0.00 kJ/mol of atoms
DFT formation energy = 165 meV/atom
Fermi-level density of states = 6.08 states/eV/cell

abc: 3.642 3.642 7.399
angles: 90.00 90.00 90.00
Fractional positions:
1 Pr 0.000 0.000 0.000
2 Zr 0.500 0.500 0.302
3 Zr 0.500 0.500 0.698
4 Ti 0.000 0.000 0.500

=====

Record 11
Below is an optimized crystal structure of Pr5Tl2, with properties calculated at the PBE level.

## Properties
size of the total moment = 0.000 μB/f.u.
DFT formation energy = -214 meV/atom
Fermi-level density of states = 15.16 states/eV/cell

abc: 8.745 8.745 9.322
angles: 97.60 97.60 40.29
Fractional positions:
1 Pr 0.082 0.663 0.047
2 Pr 0.123 0.426 0.680
3 Pr 0.223 0.777 0.750
4 Pr 0.337 0.918 0.453
5 Pr 0.426 0.123 0.180
6 Pr 0.574 0.877 0.820
7 Pr 0.663 0.082 0.547
8 Pr 0.777 0.223 0.250
9 Pr 0.877 0.574 0.320
10 Pr 0.918 0.337 0.953
11 Tl 0.223 0.616 0.402
12 Tl 0.384 0.777 0.098
13 Tl 0.616 0.223 0.902
14 Tl 0.777 0.384 0.598

=====

Record 12
Below is an optimized crystal structure of Pr5Tl3, with properties calculated at the PBE level.

## Properties
size of the total moment = 0.000 μB/f.u.
energy relative to the lowest polymorph listed for this composition = 3.22 kJ/mol of atoms
DFT formation energy = -286 meV/atom
Fermi-level density of states = 23.00 states/eV/cell

abc: 9.385 9.385 6.982
angles: 90.00 90.00 120.00
Fractional positions:
1 Pr 0.000 0.236 0.250
2 Pr 0.000 0.764 0.750
3 Pr 0.236 0.000 0.250
4 Pr 0.236 0.236 0.750
5 Pr 0.333 0.667 0.000
6 Pr 0.333 0.667 0.500
7 Pr 0.667 0.333 0.000
8 Pr 0.667 0.333 0.500
9 Pr 0.764 0.000 0.750
10 Pr 0.764 0.764 0.250
11 Tl 0.000 0.403 0.750
12 Tl 0.000 0.597 0.250
13 Tl 0.403 0.000 0.750
14 Tl 0.403 0.403 0.250
15 Tl 0.597 0.000 0.250
16 Tl 0.597 0.597 0.750